SrHo2MgAu4: relaxed, PBE-GGA.

Lattice parameters (Å, degrees): 9.2577 9.2577 9.2577 31.25 31.25 31.25
Positions (direct):
Sr 0.0000 0.0000 0.0000
Ho 0.2379 0.2379 0.2379
Ho 0.7621 0.7621 0.7621
Mg 0.5000 0.5000 0.5000
Au 0.1255 0.1255 0.1255
Au 0.3951 0.3951 0.3951
Au 0.6049 0.6049 0.6049
Au 0.8745 0.8745 0.8745

Properties
- formation energy from the elements (eV/atom) = -0.745
- density of states at the Fermi level (states/eV/cell) = 4.89
- E (eV per atom) = -3.94